HRu2O | PBE | optimized geometry

Properties
- E_tot: -6.0021 eV/atom
- Space-group type: Fm-3m (225)
- Polymorph energy (0 for the lowest one): 2.35 eV per formula unit
- Total magnetization: 0.0 μB per formula unit

abc: 3.8070 3.8070 3.8070
angles: 60.00 60.00 60.00
Element x y z (fractional)
H: 0.0000 0.0000 0.0000
Ru: 0.2500 0.2500 0.2500
Ru: 0.7500 0.7500 0.7500
O: 0.5000 0.5000 0.5000